No. 1
Compound: CsNbFeTePd
Source: the Alexandria database
Functional: GGA-PBE
Structure: relaxed

Calculated values
SG: R3m, No. 160
crystal system: trigonal
distance to the lowest polymorph of the same formula: 0.217 eV/f.u.
formation energy from raw total energies: -0.02 eV/atom
magnetization: 0.0 μB per formula unit
D(E_F): 0.487 states/eV/atom

Cell and atoms, written as POSCAR:
```
CsNbFeTePd
1.0
2.0239 1.1685 9.0351
-2.0239 1.1685 9.0351
0.0000 -2.3369 9.0351
Cs Nb Fe Te Pd
1 1 1 1 1
direct
0.0000 0.0000 0.0000
0.1801 0.1801 0.1801
0.4765 0.4765 0.4765
0.7756 0.7756 0.7756
0.5714 0.5714 0.5714
```

=====

No. 2
Compound: CsNbFeTePd
Source: the Alexandria database
Functional: GGA-PBE
Structure: relaxed

Calculated values
SG: P3m1, No. 156
crystal system: trigonal
distance to the lowest polymorph of the same formula: 0.282 eV/f.u.
formation energy from raw total energies: 0.00 eV/atom
magnetization: 0.0 μB per formula unit
D(E_F): 0.083 states/eV/atom

Cell and atoms, written as POSCAR:
```
CsNbFeTePd
1.0
4.2173 0.0000 0.0000
-2.1086 3.6523 0.0000
0.0000 0.0000 8.6088
Cs Nb Fe Te Pd
1 1 1 1 1
direct
0.0000 0.0000 0.0000
0.3333 0.6667 0.5538
0.0000 0.0000 0.5230
0.6667 0.3333 0.3511
0.6667 0.3333 0.7024
```

=====

Copy entry 1 word for word.
Compound: CsNbFeTePd
Source: the Alexandria database
Functional: GGA-PBE
Structure: relaxed

Calculated values
SG: R3m, No. 160
crystal system: trigonal
distance to the lowest polymorph of the same formula: 0.217 eV/f.u.
formation energy from raw total energies: -0.02 eV/atom
magnetization: 0.0 μB per formula unit
D(E_F): 0.487 states/eV/atom

Cell and atoms, written as POSCAR:
```
CsNbFeTePd
1.0
2.0239 1.1685 9.0351
-2.0239 1.1685 9.0351
0.0000 -2.3369 9.0351
Cs Nb Fe Te Pd
1 1 1 1 1
direct
0.0000 0.0000 0.0000
0.1801 0.1801 0.1801
0.4765 0.4765 0.4765
0.7756 0.7756 0.7756
0.5714 0.5714 0.5714
```